# 1
Na2CuF3 GGA-PBE relaxed; space group = No. 63; size of the total moment = 0.11 μB/cell; DFT total energy = -4.12 eV/atom
1.0
4.775 0.000 0.000
0.000 6.313 0.347
0.000 -2.791 5.673
Na F Cu
4 6 2
direct
0.493 0.824 0.488
0.993 0.512 0.176
0.993 0.176 0.512
0.493 0.488 0.824
0.493 0.843 0.843
0.493 0.181 0.488
0.993 0.512 0.819
0.493 0.488 0.181
0.993 0.157 0.157
0.993 0.819 0.512
0.993 0.874 0.874
0.493 0.126 0.126


# 2
NaCu2F8 GGA-PBE relaxed; space group = No. 12; size of the total moment = 1.19 μB/cell; ΔE to the lowest computed polymorph = 0.000 eV per atom
1.0
4.594 -0.002 0.002
-0.114 4.830 -3.434
-0.007 -0.014 6.889
Cu Na F
2 1 8
direct
0.745 0.760 0.380
0.255 0.240 0.620
0.000 0.000 0.000
0.271 0.606 0.803
0.747 0.760 0.637
0.729 0.394 0.197
0.253 0.240 0.363
0.254 0.240 0.877
0.746 0.760 0.123
0.245 0.861 0.431
0.755 0.139 0.569


# 3
NaCu3F6 GGA-PBE relaxed; space group = No. 65; size of the total moment = 2.02 μB/cell; DFT total energy = -4.19 eV/atom
1.0
-2.828 -1.735 -0.426
2.186 -4.529 3.938
-3.232 4.478 3.209
F Cu Na
6 3 1
direct
0.000 0.320 0.065
0.000 0.065 0.320
0.500 0.666 0.334
0.500 0.334 0.666
0.000 0.935 0.680
0.000 0.680 0.935
0.500 0.000 0.500
0.500 0.500 0.000
0.000 0.000 0.000
0.000 0.500 0.500